#a
Material: CaBi2Pd9
Method: DFT, PBE-GGA
State: relaxed

Cell and atoms, written as extended XYZ:
```
12
Lattice="4.127 0.000 0.000 0.000 4.127 0.000 0.000 0.000 12.406" Properties=species:S:1:pos:R:3 pbc="T T T"
Ca 0.000 0.000 0.000
Bi 0.000 0.000 4.075
Bi 0.000 0.000 8.332
Pd 0.000 2.063 2.102
Pd 0.000 2.063 6.203
Pd 0.000 2.063 10.304
Pd 2.063 0.000 2.102
Pd 2.063 0.000 6.203
Pd 2.063 0.000 10.304
Pd 2.063 2.063 0.000
Pd 2.063 2.063 4.200
Pd 2.063 2.063 8.206
```

Summary:
Symmetry ... P4/mmm (123)
Size of the total moment ... 0.0 μB/cell
V ... 211 Å³/cell

***

#b
Material: CaBi2Pd9
Method: DFT, PBE-GGA
State: relaxed

Cell and atoms, written as extended XYZ:
```
12
Lattice="2.687 1.551 9.095 -2.687 1.551 9.095 0.000 -3.103 9.095" Properties=species:S:1:pos:R:3 pbc="T T T"
Ca 0.000 0.000 0.000
Bi 0.000 0.000 3.591
Bi 0.000 0.000 23.695
Pd -1.350 -0.779 11.382
Pd 0.000 0.000 9.092
Pd 0.000 -1.559 15.904
Pd -1.350 0.779 15.904
Pd 0.000 0.000 13.643
Pd 1.350 -0.779 11.382
Pd 0.000 1.559 11.382
Pd 0.000 0.000 18.194
Pd 1.350 0.779 15.904
```

Summary:
Symmetry ... R-3m (166)
Size of the total moment ... 0.0 μB/cell
V ... 227 Å³/cell

***

Short version: #b is the least stable of them.

***

#a
Material: CaBi2Pd8
Method: DFT, PBE-GGA
State: relaxed

Cell and atoms, written as extended XYZ:
```
11
Lattice="3.890 -6.514 0.000 3.890 6.514 0.000 -3.012 0.000 4.125" Properties=species:S:1:pos:R:3 pbc="T T T"
Ca 0.000 0.000 0.000
Bi 2.384 2.472 2.062
Bi 2.384 -2.472 2.062
Pd -0.291 1.510 2.647
Pd 3.890 3.665 0.000
Pd -0.291 -1.510 2.647
Pd 2.823 0.000 0.804
Pd 1.946 0.000 3.321
Pd 5.060 1.510 1.478
Pd 3.890 -3.665 0.000
Pd 5.060 -1.510 1.478
```

Summary:
Symmetry ... C2/m (12)
Size of the total moment ... 0.0 μB/cell
V ... 209 Å³/cell

***

#b
Material: CaBi2Pd8
Method: DFT, PBE-GGA
State: relaxed

Cell and atoms, written as extended XYZ:
```
11
Lattice="7.574 -2.092 0.000 7.574 2.092 0.000 -1.284 0.000 6.255" Properties=species:S:1:pos:R:3 pbc="T T T"
Ca 0.000 0.000 0.000
Bi 4.266 0.000 4.940
Bi 9.598 0.000 1.315
Pd 0.771 0.000 2.882
Pd 1.509 0.000 5.669
Pd 3.737 0.000 2.217
Pd 6.525 0.000 1.759
Pd 7.340 0.000 4.496
Pd 10.128 0.000 4.038
Pd 12.356 0.000 0.586
Pd 13.093 0.000 3.373
```

Summary:
Symmetry ... C2/m (12)
Size of the total moment ... 0.0 μB/cell
V ... 198 Å³/cell

***

Short version: #a is the least stable of them.

***

#a
Material: CaBi2Pd7
Method: DFT, PBE-GGA
State: relaxed

Cell and atoms, written as extended XYZ:
```
10
Lattice="-2.041 2.041 11.880 2.041 -2.041 11.880 2.041 2.041 -11.880" Properties=species:S:1:pos:R:3 pbc="T T T"
Ca 0.000 0.000 0.000
Bi 0.000 0.000 7.891
Bi 0.000 0.000 15.869
Pd 2.041 0.000 2.118
Pd 2.041 0.000 5.940
Pd 2.041 0.000 9.761
Pd 0.000 0.000 11.880
Pd 0.000 2.041 2.118
Pd 0.000 2.041 5.940
Pd 0.000 2.041 9.761
```

Summary:
Symmetry ... I4/mmm (139)
Size of the total moment ... 0.0 μB/cell
V ... 198 Å³/cell

***

#b
Material: CaBi2Pd7
Method: DFT, PBE-GGA
State: relaxed

Cell and atoms, written as extended XYZ:
```
10
Lattice="3.721 -6.932 0.000 3.721 6.932 0.000 0.000 0.000 4.460" Properties=species:S:1:pos:R:3 pbc="T T T"
Ca 0.000 0.000 0.000
Bi 3.721 2.726 2.230
Bi 3.721 -2.726 2.230
Pd 1.350 1.458 2.230
Pd 3.721 4.157 0.000
Pd 1.350 -1.458 2.230
Pd 3.721 0.000 2.230
Pd 6.092 1.458 2.230
Pd 3.721 -4.157 0.000
Pd 6.092 -1.458 2.230
```

Summary:
Symmetry ... Cmmm (65)
Size of the total moment ... 0.0 μB/cell
V ... 230 Å³/cell

***

Short version: #b is the least stable of them.

***

#a
Material: CaPm4Bi5
Method: DFT, PBE-GGA
State: relaxed

Cell and atoms, written as extended XYZ:
```
10
Lattice="-2.292 2.292 16.263 2.292 -2.292 16.263 2.292 2.292 -16.263" Properties=species:S:1:pos:R:3 pbc="T T T"
Ca 0.000 0.000 0.000
Pm 0.000 0.000 6.511
Pm 0.000 0.000 13.045
Pm 0.000 0.000 19.482
Pm 0.000 0.000 26.016
Bi 0.000 0.000 3.287
Bi 0.000 0.000 9.760
Bi 0.000 0.000 16.263
Bi 0.000 0.000 22.767
Bi 0.000 0.000 29.240
```

Summary:
Symmetry ... I4/mmm (139)
Size of the total moment ... 0.0 μB/cell
V ... 342 Å³/cell

***

#b
Material: CaPm4Bi5
Method: DFT, PBE-GGA
State: relaxed

Cell and atoms, written as extended XYZ:
```
10
Lattice="-2.288 3.246 11.509 2.288 -3.246 11.509 2.288 3.246 -11.509" Properties=species:S:1:pos:R:3 pbc="T T T"
Ca 0.000 0.000 0.000
Pm 0.000 0.000 4.596
Pm 0.000 0.000 9.232
Pm 0.000 0.000 13.785
Pm 0.000 0.000 18.422
Bi 2.288 0.000 2.352
Bi 2.288 0.000 6.917
Bi 0.000 3.246 0.000
Bi 0.000 3.246 4.592
Bi 0.000 3.246 9.157
```

Summary:
Symmetry ... Immm (71)
Size of the total moment ... 0.0 μB/cell
V ... 342 Å³/cell

***

Short version: #a is the least stable of them.